(1)
## BaSbOs (PBE)

Data for a relaxed BaSbOs crystal.

a = 3.464 Å, b = 3.464 Å, c = 12.829 Å
α = 90.00°, β = 90.00°, γ = 90.00°
Fractional coordinates of all 6 atoms:
Ba (0.000, 0.000, 0.000)
Ba (0.500, 0.500, 0.500)
Sb (0.000, 0.000, 0.280)
Sb (0.500, 0.500, 0.780)
Os (0.000, 0.000, 0.684)
Os (0.500, 0.500, 0.184)

Values from the calculation:
Space-group type: I4mm
Total magnetic moment, μB/f.u.: 0.00
Uncorrected formation energy, meV/atom: 183.8
Total energy, eV per atom: -5.575



(2)
## BaSbOs2 (PBE)

Data for a relaxed BaSbOs2 crystal.

a = 3.315 Å, b = 3.315 Å, c = 7.821 Å
α = 90.00°, β = 90.00°, γ = 90.00°
Fractional coordinates of all 4 atoms:
Ba (0.000, 0.000, 0.000)
Sb (0.000, 0.000, 0.500)
Os (0.500, 0.500, 0.316)
Os (0.500, 0.500, 0.684)

Values from the calculation:
Space-group type: P4/mmm
Total magnetic moment, μB/f.u.: 0.00
Uncorrected formation energy, meV/atom: 850.2
Total energy, eV per atom: -6.276



(3)
## BaSb3Os (PBE)

Data for a relaxed BaSb3Os crystal.

a = 5.331 Å, b = 5.331 Å, c = 5.331 Å
α = 90.00°, β = 90.00°, γ = 90.00°
Fractional coordinates of all 5 atoms:
Ba (0.000, 0.000, 0.000)
Sb (0.000, 0.500, 0.500)
Sb (0.500, 0.000, 0.500)
Sb (0.500, 0.500, 0.000)
Os (0.500, 0.500, 0.500)

Values from the calculation:
Space-group type: Pm-3m
Total magnetic moment, μB/f.u.: 0.00
Uncorrected formation energy, meV/atom: 132.9
Total energy, eV per atom: -4.971



(4)
## BaSbOs2 (PBE)

Data for a relaxed BaSbOs2 crystal.

a = 3.157 Å, b = 5.620 Å, c = 9.887 Å
α = 90.00°, β = 90.00°, γ = 90.00°
Fractional coordinates of all 8 atoms:
Ba (0.000, 0.000, 0.000)
Ba (0.500, 0.500, 0.500)
Sb (0.000, 0.000, 0.500)
Sb (0.500, 0.500, 0.000)
Os (0.000, 0.500, 0.217)
Os (0.000, 0.500, 0.783)
Os (0.500, 0.000, 0.283)
Os (0.500, 0.000, 0.717)

Values from the calculation:
Space-group type: Immm
Total magnetic moment, μB/f.u.: 0.00
Uncorrected formation energy, meV/atom: 1153.5
Total energy, eV per atom: -5.973



(5)
## BaSbOs2 (PBE)

Data for a relaxed BaSbOs2 crystal.

a = 3.962 Å, b = 4.152 Å, c = 6.694 Å
α = 90.00°, β = 100.58°, γ = 90.00°
Fractional coordinates of all 4 atoms:
Ba (0.000, 0.000, 0.000)
Sb (0.385, 0.500, 0.666)
Os (0.546, 0.000, 0.426)
Os (0.834, 0.500, 0.390)

Values from the calculation:
Space-group type: Pm
Total magnetic moment, μB/f.u.: 0.00
Uncorrected formation energy, meV/atom: 403.0
Total energy, eV per atom: -6.723



(6)
## BaSbOs2 (PBE)

Data for a relaxed BaSbOs2 crystal.

a = 3.311 Å, b = 3.311 Å, c = 27.382 Å
α = 90.00°, β = 90.00°, γ = 120.00°
Fractional coordinates of all 12 atoms:
Ba (0.000, 0.000, 0.000)
Ba (0.333, 0.667, 0.667)
Ba (0.667, 0.333, 0.333)
Sb (0.000, 0.000, 0.500)
Sb (0.333, 0.667, 0.167)
Sb (0.667, 0.333, 0.833)
Os (0.000, 0.000, 0.235)
Os (0.000, 0.000, 0.765)
Os (0.333, 0.667, 0.432)
Os (0.333, 0.667, 0.902)
Os (0.667, 0.333, 0.098)
Os (0.667, 0.333, 0.568)

Values from the calculation:
Space-group type: R-3m
Total magnetic moment, μB/f.u.: 0.00
Uncorrected formation energy, meV/atom: 1102.7
Total energy, eV per atom: -6.023



(7)
## Ba2SbOs (PBE)

Data for a relaxed Ba2SbOs crystal.

a = 4.665 Å, b = 5.085 Å, c = 11.768 Å
α = 90.00°, β = 90.00°, γ = 90.00°
Fractional coordinates of all 8 atoms:
Ba (0.000, 0.000, 0.000)
Ba (0.000, 0.500, 0.500)
Ba (0.500, 0.000, 0.286)
Ba (0.500, 0.500, 0.786)
Sb (0.500, 0.000, 0.590)
Sb (0.500, 0.500, 0.090)
Os (0.000, 0.000, 0.692)
Os (0.000, 0.500, 0.192)

Values from the calculation:
Space-group type: Amm2
Total magnetic moment, μB/f.u.: 0.00
Uncorrected formation energy, meV/atom: -38.8
Total energy, eV per atom: -4.838



(8)
## BaSbOs2 (PBE)

Data for a relaxed BaSbOs2 crystal.

a = 3.050 Å, b = 5.727 Å, c = 10.689 Å
α = 90.00°, β = 90.00°, γ = 90.00°
Fractional coordinates of all 8 atoms:
Ba (0.000, 0.000, 0.000)
Ba (0.500, 0.500, 0.500)
Sb (0.000, 0.500, 0.212)
Sb (0.500, 0.000, 0.712)
Os (0.000, 0.000, 0.497)
Os (0.000, 0.500, 0.808)
Os (0.500, 0.000, 0.308)
Os (0.500, 0.500, 0.997)

Values from the calculation:
Space-group type: Imm2
Total magnetic moment, μB/f.u.: 0.06
Uncorrected formation energy, meV/atom: 793.0
Total energy, eV per atom: -6.333